[1]
The following is a GGA-PBE calculation of a geometry-optimized Pm2DyYMg structure, from Alexandria via LeMat-Bulk.

SG	No. 11
energy relative to the elements	0.012	eV per atom
DOS at the Fermi energy	1.472	states/eV per atom

Unit cell a=6.6775 b=5.5606 c=8.6687 alpha=90.00 beta=103.39 gamma=90.00
Last column: nearest neighbours and their distance in Å.
Fractional coordinates of all 10 atoms:
1 Pm 0.0380 0.2500 0.3540  3 Mg 3.40-3.42, 3 Dy 3.55-3.62, 1 Pm 3.57, 1 Y 3.67
2 Pm 0.1168 0.7500 0.0692  3 Pm 3.28-3.57, 1 Mg 3.28, 1 Dy 3.29, 2 Y 3.55
3 Pm 0.8832 0.2500 0.9308  3 Pm 3.28-3.57, 1 Mg 3.28, 1 Dy 3.29, 2 Y 3.55
4 Pm 0.9620 0.7500 0.6460  3 Mg 3.40-3.42, 3 Dy 3.55-3.62, 1 Pm 3.57, 1 Y 3.67
5 Dy 0.3763 0.7500 0.4411  1 Mg 3.22, 2 Dy 3.27, 3 Pm 3.29-3.55, 1 Y 3.51
6 Dy 0.6237 0.2500 0.5589  1 Mg 3.22, 2 Dy 3.27, 3 Pm 3.29-3.55, 1 Y 3.51
7 Y 0.4561 0.2500 0.1442  3 Mg 3.36-3.37, 1 Dy 3.51, 4 Pm 3.55-3.74
8 Y 0.5439 0.7500 0.8558  3 Mg 3.36-3.37, 1 Dy 3.51, 4 Pm 3.55-3.74
9 Mg 0.2628 0.2500 0.7485  1 Dy 3.22, 4 Pm 3.28-3.42, 3 Y 3.36-3.37
10 Mg 0.7372 0.7500 0.2515  1 Dy 3.22, 4 Pm 3.28-3.42, 3 Y 3.36-3.37

***

[2]
The following is a GGA-PBE calculation of a geometry-optimized HfUSn structure, from Alexandria via LeMat-Bulk.

energy above the most stable polymorph in this dataset	344	meV/atom
SG	No. 156
energy relative to the elements	0.341	eV per atom
DOS at the Fermi energy	1.827	states/eV per atom

Unit cell a=5.1157 b=5.1157 c=3.0299 alpha=90.00 beta=90.00 gamma=120.00
Last column: nearest neighbours and their distance in Å.
Fractional coordinates of all 3 atoms:
1 Hf 0.0000 0.0000 0.0000  3 U 2.95, 2 Hf 3.03
2 U 0.3333 0.6667 0.9965  3 Hf 2.95, 2 U 3.03
3 Sn 0.6667 0.3333 0.4972  2 Sn 3.03, 6 Hf 3.32, 6 U 3.32

***

[3]
The following is a GGA-PBE calculation of a geometry-optimized ReSi2Ni structure, from Alexandria via LeMat-Bulk.

SG	No. 12
raw formation energy	-47	kJ/mol of formula units
DOS at the Fermi energy	0.643	states/eV per atom

Unit cell a=4.2252 b=4.2252 c=4.7319 alpha=101.31 beta=101.31 gamma=38.52
Last column: nearest neighbours and their distance in Å.
Fractional coordinates of all 4 atoms:
1 Re 0.0000 0.0000 0.0000  6 Si 2.52-2.53, 4 Ni 2.75, 2 Re 2.79
2 Si 0.2489 0.2489 0.7473  3 Ni 2.51-2.52, 3 Re 2.52-2.53, 6 Si 2.73-2.79
3 Si 0.7511 0.7511 0.2527  3 Ni 2.51-2.52, 3 Re 2.52-2.53, 6 Si 2.73-2.79
4 Ni 0.5000 0.5000 0.5000  6 Si 2.51-2.52, 4 Re 2.75, 2 Ni 2.79

***

[4]
The following is a GGA-PBE calculation of a geometry-optimized CaCo2SbN structure, from Alexandria via LeMat-Bulk.

energy above the most stable polymorph in this dataset	731	meV/atom
SG	No. 123
raw formation energy	133	kJ/mol of formula units
DOS at the Fermi energy	1.347	states/eV per atom

Unit cell a=4.0125 b=4.0125 c=4.9904 alpha=90.00 beta=90.00 gamma=90.00
Last column: nearest neighbours and their distance in Å.
Fractional coordinates of all 5 atoms:
1 Ca 0.0000 0.0000 0.0000  4 Sb 2.84
2 Co 0.0000 0.5000 0.5000  2 N 2.01
3 Co 0.5000 0.0000 0.5000  2 N 2.01
4 Sb 0.5000 0.5000 0.0000  2 N 2.50
5 N 0.5000 0.5000 0.5000  4 Co 2.01